No. 1
Material: BaMgIn2Pt
Method: DFT, GGA-PBE
State: optimized geometry

* excess energy over the best structure of this formula in the dataset: 0 meV/atom
* total moment: 0.0 μB per formula unit
* VASP energy: -3.51 eV per atom

Cell lengths 4.805, 4.805, 11.815 Å; angles 90.00, 90.00, 90.00 degrees
Element x y z (fractional)
Ba1 0.250 0.250 0.235
Ba2 0.750 0.750 0.765
Mg1 0.250 0.750 0.500
Mg2 0.750 0.250 0.500
In1 0.250 0.250 0.651
In2 0.250 0.750 0.000
In3 0.750 0.250 0.000
In4 0.750 0.750 0.349
Pt1 0.250 0.250 0.882
Pt2 0.750 0.750 0.118



No. 2
Material: BaMg2ZnIn
Method: DFT, GGA-PBE
State: optimized geometry

* VASP energy: -2.03 eV per atom

Cell lengths 6.999, 6.999, 6.999 Å; angles 139.75, 139.75, 58.23 degrees
Element x y z (fractional)
Ba1 0.000 0.000 0.000
Mg1 0.243 0.743 0.500
Mg2 0.743 0.243 0.500
Zn1 0.614 0.614 0.000
In1 0.387 0.387 0.000



No. 3
Material: BaNbIn
Method: DFT, GGA-PBE
State: optimized geometry

* total moment: 2.2 μB per formula unit
* VASP energy: -4.06 eV per atom

Cell lengths 5.150, 5.150, 5.150 Å; angles 60.00, 60.00, 60.00 degrees
Element x y z (fractional)
Ba1 0.000 0.000 0.000
Nb1 0.250 0.250 0.250
In1 0.500 0.500 0.500



No. 4
Material: Ba2NbInS6
Method: DFT, GGA-PBE
State: optimized geometry

* total moment: 0.0 μB per formula unit
* VASP energy: -5.34 eV per atom

Cell lengths 7.081, 7.081, 7.081 Å; angles 60.00, 60.00, 60.00 degrees
Element x y z (fractional)
Ba1 0.250 0.250 0.250
Ba2 0.750 0.750 0.750
Nb1 0.000 0.000 0.000
In1 0.500 0.500 0.500
S1 0.244 0.244 0.756
S2 0.244 0.756 0.244
S3 0.244 0.756 0.756
S4 0.756 0.244 0.244
S5 0.756 0.244 0.756
S6 0.756 0.756 0.244



- What is the VASP energy in the fourth record?
  -5.34 eV per atom



- Among the records above, which one has the highest VASP energy?
  BaMg2ZnIn



- Look up the VASP energy of the first one.
  -3.51 eV per atom



- Which of these has the lowest VASP energy?
  Ba2NbInS6